Version w
# PBE RbPCCl2, optimized geometry
data_RbPCCl2
_chemical_formula_sum 'Rb1 P1 C1 Cl2'
_cell_length_a 5.792
_cell_length_b 5.792
_cell_length_c 3.510
_cell_angle_alpha 90.00
_cell_angle_beta 90.00
_cell_angle_gamma 90.00
_symmetry_space_group_name_H-M 'P 4/m m m'
_symmetry_Int_Tables_number 123
_symmetry_space_group_name_Hall '-P 4 2'
loop_
_atom_site_label
_atom_site_type_symbol
_atom_site_fract_x
_atom_site_fract_y
_atom_site_fract_z
Rb1 Rb 0.000 0.000 0.000
P1 P 0.500 0.500 0.000
C1 C 0.500 0.500 0.500
Cl1 Cl 0.000 0.500 0.500
# DOS(E_F) (states/eV per atom): 0.666


Version x
# PBE RbPCCl2, optimized geometry
data_RbPCCl2
_chemical_formula_sum 'Rb1 P1 C1 Cl2'
_cell_length_a 6.317
_cell_length_b 6.317
_cell_length_c 7.497
_cell_angle_alpha 90.00
_cell_angle_beta 90.00
_cell_angle_gamma 90.00
_symmetry_space_group_name_H-M 'P 4/m m m'
_symmetry_Int_Tables_number 123
_symmetry_space_group_name_Hall '-P 4 2'
loop_
_atom_site_label
_atom_site_type_symbol
_atom_site_fract_x
_atom_site_fract_y
_atom_site_fract_z
Rb1 Rb 0.000 0.000 0.000
P1 P 0.000 0.000 0.500
C1 C 0.500 0.500 0.500
Cl1 Cl 0.000 0.500 0.000
# DOS(E_F) (states/eV per atom): 2.909


Need the numbers? Relative energies in kJ/mol of atoms: version w 0.0; version x 147.0.


Version w
# PBE ReP2CCl, optimized geometry
data_ReP2CCl
_chemical_formula_sum 'Re1 P2 C1 Cl1'
_cell_length_a 4.575
_cell_length_b 4.575
_cell_length_c 4.945
_cell_angle_alpha 90.00
_cell_angle_beta 90.00
_cell_angle_gamma 90.00
_symmetry_space_group_name_H-M 'P 4/m m m'
_symmetry_Int_Tables_number 123
_symmetry_space_group_name_Hall '-P 4 2'
loop_
_atom_site_label
_atom_site_type_symbol
_atom_site_fract_x
_atom_site_fract_y
_atom_site_fract_z
Re1 Re 0.000 0.000 0.000
P1 P 0.000 0.500 0.000
C1 C 0.500 0.500 0.500
Cl1 Cl 0.000 0.000 0.500
# DOS(E_F) (states/eV per atom): 0.980


Version x
# PBE ReP2CCl, optimized geometry
data_ReP2CCl
_chemical_formula_sum 'Re1 P2 C1 Cl1'
_cell_length_a 3.924
_cell_length_b 3.924
_cell_length_c 4.158
_cell_angle_alpha 90.00
_cell_angle_beta 90.00
_cell_angle_gamma 90.00
_symmetry_space_group_name_H-M 'P 4/m m m'
_symmetry_Int_Tables_number 123
_symmetry_space_group_name_Hall '-P 4 2'
loop_
_atom_site_label
_atom_site_type_symbol
_atom_site_fract_x
_atom_site_fract_y
_atom_site_fract_z
Re1 Re 0.000 0.000 0.000
P1 P 0.000 0.500 0.500
C1 C 0.500 0.500 0.500
Cl1 Cl 0.500 0.500 0.000
# DOS(E_F) (states/eV per atom): 0.623


Need the numbers? Relative energies in kJ/mol of atoms: version w 19.7; version x 0.0.


Version w
# PBE P2RhCCl, optimized geometry
data_P2RhCCl
_chemical_formula_sum 'P2 Rh1 C1 Cl1'
_cell_length_a 4.543
_cell_length_b 4.543
_cell_length_c 4.922
_cell_angle_alpha 90.00
_cell_angle_beta 90.00
_cell_angle_gamma 90.00
_symmetry_space_group_name_H-M 'P 4/m m m'
_symmetry_Int_Tables_number 123
_symmetry_space_group_name_Hall '-P 4 2'
loop_
_atom_site_label
_atom_site_type_symbol
_atom_site_fract_x
_atom_site_fract_y
_atom_site_fract_z
P1 P 0.000 0.500 0.000
Rh1 Rh 0.000 0.000 0.000
C1 C 0.500 0.500 0.500
Cl1 Cl 0.000 0.000 0.500
# DOS(E_F) (states/eV per atom): 0.980


Version x
# PBE P2RhCCl, optimized geometry
data_P2RhCCl
_chemical_formula_sum 'P2 Rh1 C1 Cl1'
_cell_length_a 4.015
_cell_length_b 4.015
_cell_length_c 4.191
_cell_angle_alpha 90.00
_cell_angle_beta 90.00
_cell_angle_gamma 90.00
_symmetry_space_group_name_H-M 'P 4/m m m'
_symmetry_Int_Tables_number 123
_symmetry_space_group_name_Hall '-P 4 2'
loop_
_atom_site_label
_atom_site_type_symbol
_atom_site_fract_x
_atom_site_fract_y
_atom_site_fract_z
P1 P 0.000 0.500 0.000
Rh1 Rh 0.000 0.000 0.500
C1 C 0.500 0.500 0.000
Cl1 Cl 0.500 0.500 0.500
# DOS(E_F) (states/eV per atom): 0.476


Need the numbers? Relative energies in kJ/mol of atoms: version w 48.6; version x 0.0.


Version w
# PBE PRuCCl2, optimized geometry
data_PRuCCl2
_chemical_formula_sum 'P1 Ru1 C1 Cl2'
_cell_length_a 4.281
_cell_length_b 4.281
_cell_length_c 4.086
_cell_angle_alpha 90.00
_cell_angle_beta 90.00
_cell_angle_gamma 90.00
_symmetry_space_group_name_H-M 'P 4/m m m'
_symmetry_Int_Tables_number 123
_symmetry_space_group_name_Hall '-P 4 2'
loop_
_atom_site_label
_atom_site_type_symbol
_atom_site_fract_x
_atom_site_fract_y
_atom_site_fract_z
P1 P 0.000 0.000 0.000
Ru1 Ru 0.500 0.500 0.000
C1 C 0.000 0.000 0.500
Cl1 Cl 0.000 0.500 0.500
# DOS(E_F) (states/eV per atom): 0.867


Version x
# PBE PRuCCl2, optimized geometry
data_PRuCCl2
_chemical_formula_sum 'P1 Ru1 C1 Cl2'
_cell_length_a 4.861
_cell_length_b 4.861
_cell_length_c 4.471
_cell_angle_alpha 90.00
_cell_angle_beta 90.00
_cell_angle_gamma 90.00
_symmetry_space_group_name_H-M 'P 4/m m m'
_symmetry_Int_Tables_number 123
_symmetry_space_group_name_Hall '-P 4 2'
loop_
_atom_site_label
_atom_site_type_symbol
_atom_site_fract_x
_atom_site_fract_y
_atom_site_fract_z
P1 P 0.000 0.000 0.000
Ru1 Ru 0.000 0.000 0.500
C1 C 0.500 0.500 0.000
Cl1 Cl 0.000 0.500 0.500
# DOS(E_F) (states/eV per atom): 1.085


Version y
# PBE PRuCCl2, optimized geometry
data_PRuCCl2
_chemical_formula_sum 'P1 Ru1 C1 Cl2'
_cell_length_a 5.313
_cell_length_b 5.313
_cell_length_c 3.177
_cell_angle_alpha 90.00
_cell_angle_beta 90.00
_cell_angle_gamma 90.00
_symmetry_space_group_name_H-M 'P 4/m m m'
_symmetry_Int_Tables_number 123
_symmetry_space_group_name_Hall '-P 4 2'
loop_
_atom_site_label
_atom_site_type_symbol
_atom_site_fract_x
_atom_site_fract_y
_atom_site_fract_z
P1 P 0.000 0.000 0.000
Ru1 Ru 0.500 0.500 0.500
C1 C 0.000 0.000 0.500
Cl1 Cl 0.000 0.500 0.000
# DOS(E_F) (states/eV per atom): 0.343


Need the numbers? Relative energies in kJ/mol of atoms: version w 33.6; version x 29.6; version y 0.0.